Entry 1:
A plane-wave DFT calculation with PBE was carried out for an optimized crystal structure of RbSr3Be.

a = 7.4669 Å, b = 7.4669 Å, c = 7.4669 Å
α = 90.00°, β = 90.00°, γ = 90.00°
Fractional positions:
1 Sr 0.5000 0.0000 0.0000
2 Be 0.5000 0.5000 0.5000
3 Sr 0.0000 0.0000 0.5000
4 Rb 0.0000 0.0000 0.0000
5 Sr 0.0000 0.5000 0.0000

Properties
energy of formation: 1413 meV/atom

***

Entry 2:
A plane-wave DFT calculation with PBE was carried out for an optimized crystal structure of Sm2Tm8Mg.

a = 5.4633 Å, b = 7.4069 Å, c = 9.6578 Å
α = 112.55°, β = 106.43°, γ = 90.00°
Fractional positions:
1 Tm 0.6382 0.8720 0.2764
2 Tm 0.3618 0.5956 0.7237
3 Tm 0.8213 0.8213 0.6427
4 Sm 0.8063 0.3063 0.6126
5 Tm 0.0000 0.2561 0.0000
6 Sm 0.1937 0.6937 0.3874
7 Tm 0.3618 0.1280 0.7236
8 Mg 0.5000 0.0000 0.0000
9 Tm 0.1787 0.1787 0.3573
10 Tm 0.0000 0.7439 0.0000
11 Tm 0.6382 0.4044 0.2763

Properties
energy of formation: 110 meV/atom

***

Entry 3:
A plane-wave DFT calculation with PBE was carried out for an optimized crystal structure of K2NbInO6.

a = 5.9322 Å, b = 5.9234 Å, c = 5.9264 Å
α = 60.05°, β = 59.98°, γ = 90.00°
Site moments in Bohr magnetons follow the coordinates.
Fractional positions:
1 Nb 0.5000 0.5000 0.0000  -0.14
2 O 0.7393 0.7393 0.0000  0.30
3 K 0.2500 0.7500 0.5000  0.00
4 K 0.7500 0.2500 0.5000  0.00
5 In 0.0000 0.0000 0.0000  -0.02
6 O 0.7392 0.7392 0.5215  0.30
7 O 0.2607 0.7394 0.0000  0.30
8 O 0.7393 0.2606 0.0000  0.30
9 O 0.2608 0.2608 0.4785  0.30
10 O 0.2607 0.2607 0.0000  0.30

Properties
E_tot: -6.1676 eV/atom

***

Entry 4:
A plane-wave DFT calculation with PBE was carried out for an optimized crystal structure of MoPPdS2.

a = 4.6157 Å, b = 4.6157 Å, c = 4.7620 Å
α = 90.00°, β = 90.00°, γ = 90.00°
Fractional positions:
1 Mo 0.0000 0.0000 0.0000
2 S 0.0000 0.5000 0.0000
3 S 0.5000 0.0000 0.0000
4 P 0.0000 0.0000 0.5000
5 Pd 0.5000 0.5000 0.5000

Properties
E_tot: -5.4865 eV/atom

***

Entry 5:
A plane-wave DFT calculation with PBE was carried out for an optimized crystal structure of Tb8NiHg2.

a = 5.1894 Å, b = 6.8012 Å, c = 9.2374 Å
α = 102.18°, β = 106.31°, γ = 90.00°
Fractional positions:
1 Tb 0.0219 0.7762 0.0437
2 Tb 0.5883 0.4402 0.1767
3 Tb 0.3498 0.0350 0.6996
4 Hg 0.8089 0.2596 0.6178
5 Tb 0.2030 0.3112 0.4060
6 Tb 0.7970 0.6888 0.5940
7 Hg 0.1911 0.7404 0.3822
8 Tb 0.9781 0.2238 0.9563
9 Tb 0.6502 0.9650 0.3004
10 Tb 0.4117 0.5598 0.8233
11 Ni 0.5000 0.0000 0.0000

Properties
energy of formation: -214 meV/atom

***

Entry 6:
A plane-wave DFT calculation with PBE was carried out for an optimized crystal structure of SrSbRh2.

a = 3.5732 Å, b = 3.5662 Å, c = 6.7480 Å
α = 90.00°, β = 90.00°, γ = 90.00°
Fractional positions:
1 Rh 0.0000 0.0000 0.0355
2 Sr 0.5000 0.5000 0.7790
3 Rh 0.5000 0.5000 0.2672
4 Sb 0.0000 0.0000 0.4183

Properties
E_tot: -5.3130 eV/atom

***

no.,DOS at the Fermi energy (states/eV per cell)
1,12.80
2,16.99
3,6.91
4,4.06
5,9.77
6,3.14